# 1
Computed, not measured: a crystal of MnAlSe2 relaxed with PBEsol at the meta-GGA SCAN level of DFT.

Cell: 4.6638 4.6638 4.6638 Å, 60.00 60.00 60.00°
Fractional coordinates of all 4 atoms:
Mn 0.0000 0.0000 0.0000
Al 0.2500 0.2500 0.2500
Se 0.5000 0.5000 0.5000
Se 0.7500 0.7500 0.7500

Properties
As for the uncorrected formation energy: 0.284 eV/atom. The value obtained for the magnetic moment is 4.37 μB/f.u. The theoretical density comes out at 5.55 g/cm3. The value obtained for the total DFT energy (no corrections) is -16.257 eV per atom.

# 2
Computed, not measured: a crystal of K4TlNi relaxed with PBEsol at the meta-GGA SCAN level of DFT.

Cell: 6.8708 6.8708 6.8708 Å, 60.00 60.00 60.00°
Fractional coordinates of all 6 atoms:
K 0.1241 0.1241 0.1241
K 0.1241 0.1241 0.6277
K 0.1241 0.6277 0.1241
K 0.6277 0.1241 0.1241
Tl 0.5000 0.5000 0.5000
Ni 0.7500 0.7500 0.7500

Properties
For the energy of formation from the pure elements, the calculation gives 0.75 eV/atom. The value obtained for the magnetic moment is 0.37 μB/f.u. The theoretical density comes out at 3.04 g/cm3. The value obtained for the total DFT energy (no corrections) is -19.562 eV per atom.

# 3
Computed, not measured: a crystal of Cd3Ag2 relaxed with PBEsol at the meta-GGA SCAN level of DFT.

Cell: 7.9344 7.9344 7.9344 Å, 157.67 150.64 37.19°
Fractional coordinates of all 5 atoms:
Cd 0.0000 0.0000 0.0000
Cd 0.3913 0.3913 0.0000
Cd 0.6087 0.6087 0.0000
Ag 0.2014 0.2014 0.0000
Ag 0.7986 0.7986 0.0000

Properties
For the energy of formation from the pure elements, the calculation gives -0.02 eV/atom. The value obtained for the magnetic moment is 0.00 μB/f.u. The theoretical density comes out at 9.88 g/cm3. The value obtained for the energy relative to the lowest polymorph listed for this composition is 0.024 eV per atom. The value obtained for the total DFT energy (no corrections) is -30.817 eV per atom.

# 4
Computed, not measured: a crystal of Be3CoO relaxed with PBEsol at the meta-GGA SCAN level of DFT.

Cell: 3.4367 3.4367 3.4367 Å, 90.00 90.00 90.00°
Fractional coordinates of all 5 atoms:
Be 0.0000 0.0000 0.5000
Be 0.0000 0.5000 0.0000
Be 0.5000 0.0000 0.0000
Co 0.5000 0.5000 0.5000
O 0.0000 0.0000 0.0000

Properties
As for the uncorrected formation energy: -0.586 eV/atom. The value obtained for the magnetic moment is 1.00 μB/f.u. The theoretical density comes out at 4.17 g/cm3. The value obtained for the total DFT energy (no corrections) is -7.905 eV per atom.

# 5
Computed, not measured: a crystal of CrSbAs2Se relaxed with PBEsol at the meta-GGA SCAN level of DFT.

Cell: 4.5236 4.5236 5.1499 Å, 90.00 90.00 90.00°
Fractional coordinates of all 5 atoms:
Cr 0.0000 0.0000 0.0000
Sb 0.5000 0.5000 0.5000
As 0.0000 0.5000 0.0000
As 0.5000 0.0000 0.0000
Se 0.0000 0.0000 0.5000

Properties
As for the uncorrected formation energy: 0.336 eV/atom. The value obtained for the magnetic moment is 1.72 μB/f.u. The theoretical density comes out at 6.34 g/cm3. The value obtained for the total DFT energy (no corrections) is -22.885 eV per atom.

# 6
Computed, not measured: a crystal of In2P relaxed with PBEsol at the meta-GGA SCAN level of DFT.

Cell: 5.6560 5.6560 5.6560 Å, 102.46 102.46 124.65°
Fractional coordinates of all 6 atoms:
In 0.1546 0.6546 0.8093
In 0.3454 0.1546 0.5000
In 0.6546 0.8454 0.5000
In 0.8454 0.3454 0.1907
P 0.2500 0.2500 0.0000
P 0.7500 0.7500 0.0000

Properties
For the energy of formation from the pure elements, the calculation gives 0.25 eV/atom. The value obtained for the magnetic moment is 0.00 μB/f.u. The theoretical density comes out at 6.57 g/cm3. The value obtained for the energy relative to the lowest polymorph listed for this composition is 0.328 eV per atom. The value obtained for the total DFT energy (no corrections) is -25.473 eV per atom.